Ti2SnS4 | Alexandria | PBE | relaxed; uncorrected formation energy = -1.036 eV/atom; crystal system = orthorhombic; calculated density = 4289 kg/m3
1.0
-3.165 0.840 -1.448
-0.698 -5.333 2.860
-3.249 6.145 10.664
Ti Sn S
4 2 8
Cartesian
-2.051 1.390 5.289
-6.308 2.620 10.880
-0.804 -0.968 1.196
-5.061 0.262 6.788
-4.461 4.076 7.689
-2.650 -2.423 4.388
-3.184 -1.580 1.618
-4.091 0.136 4.595
-3.928 3.232 10.459
-3.021 1.516 7.481
-5.970 0.826 9.102
-1.142 0.827 2.975
-1.582 0.420 -0.724
-3.207 3.492 4.608



TiTl3Sn2S6 | Alexandria | PBE | relaxed; uncorrected formation energy = -0.628 eV/atom; crystal system = monoclinic; calculated density = 6137 kg/m3
1.0
6.803 0.016 0.013
-3.386 5.900 0.013
-1.126 -1.950 7.335
Ti Tl Sn S
1 3 2 6
Cartesian
0.000 0.000 0.000
-2.206 3.919 3.680
4.497 0.048 3.680
1.145 1.983 3.680
0.010 3.939 0.013
3.407 1.977 0.013
3.312 2.182 5.978
2.385 4.130 1.449
-1.022 1.785 1.382
0.234 3.960 5.978
-0.094 -0.163 5.912
2.057 0.007 1.382



TiTlSn2S | Alexandria | PBE | relaxed; uncorrected formation energy = 0.530 eV/atom; crystal system = tetragonal; calculated density = 5597 kg/m3
1.0
5.326 0.000 0.000
0.000 5.457 0.000
0.000 0.000 5.326
S Tl Sn Ti
1 1 2 1
Cartesian
2.663 2.729 2.663
0.000 2.729 0.000
0.000 0.000 2.663
2.663 0.000 0.000
0.000 0.000 0.000



Q: Which value of calculated density does entry 2 give?
A: 6137 kg/m3